Below is LuSeO after structural relaxation, with properties calculated at the PBE level.

```
LuSeO
1.0
-3.545 -0.431 0.548
1.860 -2.493 -1.837
0.968 -2.463 4.325
Se O Lu
1 1 1
direct
0.000 0.000 0.667
0.333 0.667 0.167
0.667 0.333 0.166
```

Results
- ΔE_f (raw): -2.158 eV/atom
- V: 57.3 Å³/cell
- Final energy: -0.47624 Ry per atom
- Total magnetic moment: 0.00 μB per cell